This record from the Alexandria database describes a geometry-optimized TiGeP2O structure. The functional is PBE.

Results
Energy above the lowest structure with this stoichiometry = 0.000 eV per atom
Space group = P4/mmm
Formation energy without anion corrections = -207.0 kJ/mol of formula units

Lattice parameters (Å, degrees): 4.896 4.896 3.694 90.00 90.00 90.00
Fractional positions:
Ti 0.000 0.000 0.000
Ge 0.500 0.500 0.500
P 0.000 0.500 0.000
P 0.500 0.000 0.000
O 0.000 0.000 0.500